# 1
Here is a relaxed structure of ZnCuTc2 from Alexandria via LeMat-Bulk. Energies are from GGA-PBEsol.

Summary:
* M_tot: 0.0 μB per formula unit
* crystal system: trigonal
* energy of formation from the pure elements: 37 meV/atom
* Fermi-level density of states: 2.15 states/eV per cell
* E_tot: -28.3 eV/cell

Cell: 2.6954 2.6954 8.6843 Å, 81.07 81.07 60.00°
Last column: nearest neighbours and their distance in Å.
Fractional positions:
1 Zn 0.5024 0.5024 0.4928  3 Cu 2.56, 6 Zn 2.70, 3 Tc 2.74
2 Tc 0.0012 0.0012 0.9965  9 Tc 2.58-2.70, 3 Cu 2.70
3 Tc 0.7479 0.7479 0.7562  9 Tc 2.58-2.70, 3 Zn 2.74
4 Cu 0.2485 0.2485 0.2545  3 Zn 2.56, 6 Cu 2.70, 3 Tc 2.70

---

# 2
Here is a relaxed structure of ZnCuTc2 from Alexandria via LeMat-Bulk. Energies are from GGA-PBEsol.

Summary:
* M_tot: 0.0 μB per formula unit
* crystal system: orthorhombic
* energy of formation from the pure elements: 215 meV/atom
* Fermi-level density of states: 3.03 states/eV per cell
* E_tot: -27.6 eV/cell

Cell: 3.1981 3.9176 4.2408 Å, 90.00 90.00 90.00°
Last column: nearest neighbours and their distance in Å.
Fractional positions:
1 Cu 0.0000 0.5000 0.5000  4 Zn 2.53, 4 Tc 2.66
2 Tc 0.0000 0.0000 0.0000  4 Tc 2.53, 4 Zn 2.66
3 Tc 0.5000 0.5000 0.0000  4 Tc 2.53, 4 Cu 2.66
4 Zn 0.5000 0.0000 0.5000  4 Cu 2.53, 4 Tc 2.66

---

# 3
Here is a relaxed structure of Zr2CuTc from Alexandria via LeMat-Bulk. Energies are from GGA-PBEsol.

Summary:
* M_tot: 0.0 μB per formula unit
* crystal system: cubic
* energy of formation from the pure elements: -252 meV/atom
* Fermi-level density of states: 3.31 states/eV per cell
* E_tot: -34.8 eV/cell

Cell: 4.5856 4.5856 4.5856 Å, 60.00 60.00 60.00°
Last column: nearest neighbours and their distance in Å.
Fractional positions:
1 Cu 0.0000 0.0000 0.0000  8 Zr 2.81
2 Tc 0.5000 0.5000 0.5000  8 Zr 2.81
3 Zr 0.7500 0.7500 0.7500  4 Tc 2.81, 4 Cu 2.81
4 Zr 0.2500 0.2500 0.2500  4 Tc 2.81, 4 Cu 2.81

---

# 4
Here is a relaxed structure of Zr2CuTc from Alexandria via LeMat-Bulk. Energies are from GGA-PBEsol.

Summary:
* M_tot: 0.0 μB per formula unit
* crystal system: tetragonal
* energy of formation from the pure elements: -10 meV/atom
* Fermi-level density of states: 4.14 states/eV per cell
* E_tot: -33.8 eV/cell

Cell: 3.9610 3.9610 5.1292 Å, 112.71 112.71 90.00°
Last column: nearest neighbours and their distance in Å.
Fractional positions:
1 Cu 0.5000 0.5000 0.0000  8 Zr 2.80-2.92, 4 Tc 2.92
2 Tc 0.2500 0.7500 0.5000  8 Zr 2.80-2.92, 4 Cu 2.92
3 Zr 0.0000 0.0000 0.0000  4 Cu 2.80, 4 Zr 2.92, 4 Tc 2.92
4 Zr 0.7500 0.2500 0.5000  4 Tc 2.80, 4 Zr 2.92, 4 Cu 2.92

---

# 5
Here is a relaxed structure of ZrCuTc2 from Alexandria via LeMat-Bulk. Energies are from GGA-PBEsol.

Summary:
* M_tot: 0.0 μB per formula unit
* crystal system: orthorhombic
* energy of formation from the pure elements: 144 meV/atom
* Fermi-level density of states: 4.32 states/eV per cell
* E_tot: -35.4 eV/cell

Cell: 3.2099 4.3031 5.1471 Å, 114.71 108.17 90.00°
Last column: nearest neighbours and their distance in Å.
Fractional positions:
1 Cu 0.0000 0.5000 0.0000  4 Zr 2.68, 4 Tc 2.73
2 Tc 0.7512 0.7512 0.5024  4 Tc 2.68, 2 Zr 2.71, 2 Cu 2.73
3 Tc 0.2488 0.2488 0.4976  4 Tc 2.68, 2 Zr 2.71, 2 Cu 2.73
4 Zr 0.5000 0.0000 0.0000  4 Cu 2.68, 4 Tc 2.71

---

# 6
Here is a relaxed structure of Zr2CuTc from Alexandria via LeMat-Bulk. Energies are from GGA-PBEsol.

Summary:
* M_tot: 0.0 μB per formula unit
* crystal system: tetragonal
* energy of formation from the pure elements: -289 meV/atom
* Fermi-level density of states: 2.94 states/eV per cell
* E_tot: -34.9 eV/cell

Cell: 3.2838 3.2838 6.3031 Å, 90.00 90.00 90.00°
Last column: nearest neighbours and their distance in Å.
Fractional positions:
1 Zr 0.0000 0.0000 0.7462  4 Tc 2.79, 4 Cu 2.82, 1 Zr 3.10
2 Zr 0.0000 0.0000 0.2538  4 Tc 2.79, 4 Cu 2.82, 1 Zr 3.10
3 Tc 0.5000 0.5000 0.5000  8 Zr 2.79
4 Cu 0.5000 0.5000 0.0000  8 Zr 2.82, 2 Tc 3.15

---

# 7
Here is a relaxed structure of Cu2Te3 from Alexandria via LeMat-Bulk. Energies are from GGA-PBEsol.

Summary:
* M_tot: 0.0 μB per formula unit
* crystal system: trigonal
* Fermi-level density of states: 2.29 states/eV per cell
* formation energy (no corrections): 0.012 eV per atom
* E_tot: -19.2 eV/cell

Cell: 3.7876 3.7876 8.7680 Å, 90.00 90.00 120.00°
Last column: nearest neighbours and their distance in Å.
Fractional positions:
1 Te 0.0000 0.0000 0.0000  6 Cu 2.73
2 Te 0.3333 0.6667 0.3440  3 Cu 2.59
3 Te 0.6667 0.3333 0.6560  3 Cu 2.59
4 Cu 0.3333 0.6667 0.8139  6 Te 2.59-2.73
5 Cu 0.6667 0.3333 0.1861  6 Te 2.59-2.73

---

# 8
Here is a relaxed structure of Cu3Te from Alexandria via LeMat-Bulk. Energies are from GGA-PBEsol.

Summary:
* M_tot: 0.0 μB per formula unit
* crystal system: hexagonal
* Fermi-level density of states: 2.12 states/eV per cell
* formation energy (no corrections): 0.211 eV per atom
* E_tot: -15.7 eV/cell

Cell: 3.8900 3.8900 5.1595 Å, 90.00 90.00 120.00°
Last column: nearest neighbours and their distance in Å.
Fractional positions:
1 Cu 0.0000 0.0000 0.2347  4 Cu 2.42-2.55, 3 Te 2.63
2 Cu 0.0000 0.0000 0.7653  4 Cu 2.42-2.55, 3 Te 2.63
3 Cu 0.3333 0.6667 0.0000  6 Cu 2.55, 2 Te 2.58
4 Te 0.3333 0.6667 0.5000  8 Cu 2.58-2.63

---

# 9
Here is a relaxed structure of Cu3Te from Alexandria via LeMat-Bulk. Energies are from GGA-PBEsol.

Summary:
* M_tot: 0.0 μB per formula unit
* crystal system: cubic
* Fermi-level density of states: 3.73 states/eV per cell
* formation energy (no corrections): 1.047 eV per atom
* E_tot: -12.3 eV/cell

Cell: 4.9009 4.9009 4.9009 Å, 90.00 90.00 90.00°
Last column: nearest neighbours and their distance in Å.
Fractional positions:
1 Cu 0.5000 0.0000 0.0000  2 Te 2.45
2 Cu 0.0000 0.5000 0.0000  2 Te 2.45
3 Cu 0.0000 0.0000 0.5000  2 Te 2.45
4 Te 0.0000 0.0000 0.0000  6 Cu 2.45

---

# 10
Here is a relaxed structure of Cu3Te from Alexandria via LeMat-Bulk. Energies are from GGA-PBEsol.

Summary:
* M_tot: 0.0 μB per formula unit
* crystal system: monoclinic
* Fermi-level density of states: 1.26 states/eV per cell
* formation energy (no corrections): 0.253 eV per atom
* E_tot: -15.5 eV/cell

Cell: 2.8678 4.0850 5.6331 Å, 90.00 105.25 90.00°
Last column: nearest neighbours and their distance in Å.
Fractional positions:
1 Cu 0.1906 0.0000 0.8118  4 Cu 2.38-2.63, 2 Te 2.66
2 Cu 0.0000 0.5000 0.0000  4 Cu 2.43
3 Cu 0.8094 0.0000 0.1882  4 Cu 2.38-2.63, 2 Te 2.66
4 Te 0.0000 0.5000 0.5000  6 Cu 2.66-2.82, 2 Te 2.87

---

# 11
Here is a relaxed structure of Cu3Te from Alexandria via LeMat-Bulk. Energies are from GGA-PBEsol.

Summary:
* M_tot: 0.0 μB per formula unit
* crystal system: tetragonal
* Fermi-level density of states: 1.61 states/eV per cell
* formation energy (no corrections): 0.223 eV per atom
* E_tot: -15.6 eV/cell

Cell: 3.4059 3.4033 5.1468 Å, 90.00 90.00 90.00°
Last column: nearest neighbours and their distance in Å.
Fractional positions:
1 Cu 0.5000 0.5000 0.7328  1 Cu 2.40
2 Cu 0.0000 0.0000 0.5000  2 Te 2.57, 8 Cu 2.69
3 Cu 0.5000 0.5000 0.2672  1 Cu 2.40
4 Te 0.0000 0.0000 0.0000  10 Cu 2.57-2.77

---

# 12
Here is a relaxed structure of CuTe4 from Alexandria via LeMat-Bulk. Energies are from GGA-PBEsol.

Summary:
* M_tot: 0.0 μB per formula unit
* crystal system: tetragonal
* Fermi-level density of states: 3.79 states/eV per cell
* formation energy (no corrections): 0.221 eV per atom
* E_tot: -17.3 eV/cell

Cell: 3.6306 6.4018 6.4018 Å, 85.39 73.53 73.53°
Last column: nearest neighbours and their distance in Å.
Fractional positions:
1 Cu 0.0000 0.0000 0.0000  8 Te 2.82
2 Te 0.6019 0.1252 0.6709  2 Cu 2.82, 2 Te 3.06
3 Te 0.7271 0.6709 0.8748  2 Cu 2.82, 2 Te 3.06
4 Te 0.3981 0.8748 0.3291  2 Cu 2.82, 2 Te 3.06
5 Te 0.2729 0.3291 0.1252  2 Cu 2.82, 2 Te 3.06

---

# 13
Here is a relaxed structure of Tl2CuTe from Alexandria via LeMat-Bulk. Energies are from GGA-PBEsol.

Summary:
* M_tot: 0.0 μB per formula unit
* crystal system: trigonal
* Fermi-level density of states: 1.21 states/eV per cell
* formation energy (no corrections): -0.009 eV per atom
* E_tot: -13.2 eV/cell

Cell: 4.1797 4.1797 7.3864 Å, 73.56 73.56 60.00°
Last column: nearest neighbours and their distance in Å.
Fractional positions:
1 Cu 0.5106 0.5106 0.4682  3 Te 2.59, 3 Tl 2.85
2 Te 0.2225 0.2225 0.3324  3 Cu 2.59
3 Tl 0.9958 0.9958 0.0127  3 Te 3.29, 3 Tl 3.32
4 Tl 0.7711 0.7711 0.6867  3 Cu 2.85